1.
An optimized crystal structure of NaReSe3. Source: Alexandria via LeMat-Bulk, functional GGA-PBE.

Cell: 7.9416 6.4067 9.0346 Å, 90.00 101.56 90.00°
Space group P2_1/c (No. 14)
Asymmetric unit:
Na 0.1006 0.1433 0.1724
Re 0.4064 0.7412 0.5786
Se 0.1445 0.6071 0.1250
Se 0.2972 0.0740 0.9311
Se 0.4324 0.5736 0.8359

Excess energy over the best structure of this formula in the dataset (meV per atom): 0
E_tot (eV per atom): -5.142
Formation energy (no corrections) (eV/atom): -0.30


2.
An optimized crystal structure of NaVRe2Se. Source: Alexandria via LeMat-Bulk, functional GGA-PBE.

Cell: 4.5803 4.5803 4.7016 Å, 90.00 90.00 90.00°
Space group P4/mmm (No. 123)
Asymmetric unit:
Na 0.0000 0.0000 0.0000
V 0.5000 0.5000 0.0000
Re 0.0000 0.5000 0.5000
Se 0.0000 0.0000 0.5000

E_tot (eV per atom): -6.148
Formation energy (no corrections) (eV/atom): 1.62


3.
An optimized crystal structure of Na3ReSi. Source: Alexandria via LeMat-Bulk, functional GGA-PBE.

Cell: 5.5400 5.5400 5.5400 Å, 90.00 90.00 90.00°
Space group Pm-3m (No. 221)
Asymmetric unit:
Na 0.0000 0.0000 0.5000
Re 0.5000 0.5000 0.5000
Si 0.0000 0.0000 0.0000

Excess energy over the best structure of this formula in the dataset (meV per atom): 0
E_tot (eV per atom): -2.796
Formation energy (no corrections) (eV/atom): 1.57


4.
An optimized crystal structure of NaRe2Si2. Source: Alexandria via LeMat-Bulk, functional GGA-PBE.

Cell: 7.5979 7.5979 2.6540 Å, 90.00 90.00 90.00°
Space group P4/mbm (No. 127)
Asymmetric unit:
Na 0.0000 0.0000 0.0000
Re 0.1421 0.3579 0.5000
Si 0.1505 0.6505 0.0000

E_tot (eV per atom): -7.344
Formation energy (no corrections) (eV/atom): 0.07


5.
An optimized crystal structure of NaReSi3. Source: Alexandria via LeMat-Bulk, functional GGA-PBE.

Cell: 4.6837 4.6837 4.6837 Å, 90.00 90.00 90.00°
Space group Pm-3m (No. 221)
Asymmetric unit:
Na 0.0000 0.0000 0.0000
Re 0.5000 0.5000 0.5000
Si 0.0000 0.0000 0.5000

Excess energy over the best structure of this formula in the dataset (meV per atom): 1918
E_tot (eV per atom): -3.748
Formation energy (no corrections) (eV/atom): 2.26


6.
An optimized crystal structure of NaReSi3. Source: Alexandria via LeMat-Bulk, functional GGA-PBE.

Cell: 4.7487 4.7487 4.7487 Å, 90.00 90.00 90.00°
Space group Pm-3m (No. 221)
Asymmetric unit:
Na 0.0000 0.0000 0.0000
Re 0.5000 0.5000 0.5000
Si 0.0000 0.5000 0.5000

Excess energy over the best structure of this formula in the dataset (meV per atom): 0
E_tot (eV per atom): -5.666
Formation energy (no corrections) (eV/atom): 0.34


7.
An optimized crystal structure of Na2ReSi. Source: Alexandria via LeMat-Bulk, functional GGA-PBE.

Cell: 8.1815 8.1815 4.8706 Å, 90.00 90.00 90.00°
Space group I-42d (No. 122)
Asymmetric unit:
Na 0.2266 0.2500 0.1250
Re 0.0000 0.0000 0.5000
Si 0.0000 0.0000 0.0000

E_tot (eV per atom): -4.085
Formation energy (no corrections) (eV/atom): 1.04


8.
An optimized crystal structure of NaReSi2. Source: Alexandria via LeMat-Bulk, functional GGA-PBE.

Cell: 6.1644 6.1644 6.1644 Å, 90.00 90.00 90.00°
Space group Fm-3m (No. 225)
Asymmetric unit:
Na 0.0000 0.0000 0.0000
Re 0.0000 0.0000 0.5000
Si 0.2500 0.2500 0.2500

Excess energy over the best structure of this formula in the dataset (meV per atom): 0
E_tot (eV per atom): -5.768
Formation energy (no corrections) (eV/atom): 0.39


9.
An optimized crystal structure of NaReSi2. Source: Alexandria via LeMat-Bulk, functional GGA-PBE.

Cell: 5.4077 5.4077 14.8525 Å, 90.00 90.00 90.00°
Space group I4_1/amd (No. 141, origin choice 2)
Asymmetric unit:
Na 0.0000 0.2500 0.3750
Re 0.0000 0.2500 0.8750
Si 0.0000 0.0000 0.0000

Excess energy over the best structure of this formula in the dataset (meV per atom): 43
E_tot (eV per atom): -5.725
Formation energy (no corrections) (eV/atom): 0.43


10.
An optimized crystal structure of Na3ReSi. Source: Alexandria via LeMat-Bulk, functional GGA-PBE.

Cell: 5.6504 5.6504 5.6504 Å, 90.00 90.00 90.00°
Space group Pm-3m (No. 221)
Asymmetric unit:
Na 0.0000 0.0000 0.5000
Re 0.0000 0.0000 0.0000
Si 0.5000 0.5000 0.5000

Excess energy over the best structure of this formula in the dataset (meV per atom): 271
E_tot (eV per atom): -2.525
Formation energy (no corrections) (eV/atom): 1.84


11.
An optimized crystal structure of NaReSi2Sn. Source: Alexandria via LeMat-Bulk, functional GGA-PBE.

Cell: 4.6580 4.6580 5.5195 Å, 90.00 90.00 90.00°
Space group P4/mmm (No. 123)
Asymmetric unit:
Na 0.0000 0.0000 0.0000
Re 0.0000 0.0000 0.5000
Si 0.0000 0.5000 0.5000
Sn 0.5000 0.5000 0.0000

E_tot (eV per atom): -5.097
Formation energy (no corrections) (eV/atom): 0.63


12.
An optimized crystal structure of Na2TiReSi. Source: Alexandria via LeMat-Bulk, functional GGA-PBE.

Cell: 4.8222 4.8222 4.6784 Å, 90.00 90.00 90.00°
Space group P4/mmm (No. 123)
Asymmetric unit:
Na 0.0000 0.5000 0.0000
Ti 0.0000 0.0000 0.5000
Re 0.5000 0.5000 0.5000
Si 0.5000 0.5000 0.0000

E_tot (eV per atom): -4.452
Formation energy (no corrections) (eV/atom): 1.23